Entry 1:
The following is a GGA-PBE calculation of a relaxed Pm2DyEr4 crystal, from Alexandria via LeMat-Bulk.

Lattice parameters (Å, degrees): 10.1824 8.7218 8.3604 138.54 98.86 97.84
Element x y z (fractional)
Er1 0.0455 0.5247 0.1082
Er2 0.6933 0.1217 0.7974
Er3 0.3399 0.0057 0.7402
Er4 0.2068 0.7708 0.9227
Er5 0.3985 0.6224 0.1465
Er6 0.5632 0.8697 0.9676
Er7 0.9153 0.2739 0.2727
Er8 0.8497 0.6052 0.8113
Dy1 0.2669 0.3895 0.3321
Dy2 0.9894 0.9033 0.7123
Pm1 0.1141 0.1414 0.5021
Pm2 0.6197 0.4907 0.3630
Pm3 0.7593 0.7803 0.2564
Pm4 0.4885 0.2507 0.5675

The space-group type is No. 1. The formation energy is 0.069 eV per atom. Its distance to the lowest polymorph of the same formula is 0.0 meV per atom. The calculation puts the calculated density at 8.3 g cm⁻³. The energy comes out at -4.553 eV/atom.

=====

Entry 2:
The following is a GGA-PBE calculation of a relaxed AlHg2As crystal, from Alexandria via LeMat-Bulk.

Lattice parameters (Å, degrees): 3.0118 4.9196 5.8980 90.00 90.00 90.00
Element x y z (fractional)
Al1 0.5000 0.5000 0.2500
Hg1 0.0000 0.0000 0.4987
Hg2 0.0000 0.0000 0.0013
As1 0.5000 0.5000 0.7500

The space-group type is No. 47. The formation energy is 0.284 eV per atom. Its distance to the lowest polymorph of the same formula is 316.2 meV per atom. The calculation puts the calculated density at 9.6 g cm⁻³. The energy comes out at -1.964 eV/atom.

=====

Entry 3:
The following is a GGA-PBE calculation of a relaxed CaNb2GaPt crystal, from Alexandria via LeMat-Bulk.

Lattice parameters (Å, degrees): 4.7686 5.1804 4.7686 90.00 90.00 90.00
Element x y z (fractional)
Pt1 0.5000 0.5000 0.5000
Nb1 0.5000 0.0000 0.0000
Nb2 0.0000 0.0000 0.5000
Ca1 0.0000 0.5000 0.0000
Ga1 0.0000 0.0000 0.0000

The space-group type is No. 123. The formation energy is 0.920 eV per atom. The calculation puts the calculated density at 6.9 g cm⁻³. The energy comes out at -5.322 eV/atom.

=====

Entry 4:
The following is a GGA-PBE calculation of a relaxed EuPuOs4 crystal, from Alexandria via LeMat-Bulk.

Lattice parameters (Å, degrees): 5.3747 5.3747 5.3747 60.00 60.00 60.00
Element x y z (fractional)
Pu1 0.0000 0.0000 0.0000
Eu1 0.2500 0.2500 0.2500
Os1 0.6250 0.1249 0.6250
Os2 0.1249 0.6250 0.6250
Os3 0.6250 0.6250 0.6250
Os4 0.6250 0.6250 0.1249

The space-group type is No. 216. The formation energy is 0.006 eV per atom. The calculation puts the calculated density at 17.5 g cm⁻³. The energy comes out at -11.581 eV/atom.

=====

Entry 5:
The following is a GGA-PBE calculation of a relaxed CsGa3 crystal, from Alexandria via LeMat-Bulk.

Lattice parameters (Å, degrees): 8.9946 8.9946 8.9946 137.72 137.72 61.33
Element x y z (fractional)
Ga1 0.6098 0.9169 0.3070
Ga2 0.5000 0.5000 0.0000
Ga3 0.7753 0.5652 0.7899
Ga4 0.6972 0.3902 0.3070
Ga5 0.7753 0.9854 0.2101
Ga6 0.0146 0.2247 0.7899
Ga7 0.6098 0.3028 0.6930
Ga8 0.0831 0.3902 0.6930
Ga9 0.4348 0.2247 0.2101
Cs1 0.3724 0.8724 0.5000
Cs2 0.1276 0.6276 0.5000
Cs3 0.0000 0.0000 0.0000

The space-group type is No. 119. The formation energy is -0.166 eV per atom. The calculation puts the calculated density at 5.2 g cm⁻³. The energy comes out at -2.649 eV/atom.

=====

Entry 6:
The following is a GGA-PBE calculation of a relaxed ZrCdFe2 crystal, from Alexandria via LeMat-Bulk.

Lattice parameters (Å, degrees): 5.3318 5.3318 4.3983 65.47 65.47 35.44
Element x y z (fractional)
Cd1 0.2674 0.2674 0.2333
Zr1 0.4898 0.4898 0.5096
Fe1 0.7184 0.7184 0.7822
Fe2 0.0244 0.0244 0.9749

The space-group type is No. 8. The formation energy is 0.103 eV per atom. The calculation puts the calculated density at 8.0 g cm⁻³. The energy comes out at -6.494 eV/atom.

=====

Entry 7:
The following is a GGA-PBE calculation of a relaxed LiSbCl2 crystal, from Alexandria via LeMat-Bulk.

Lattice parameters (Å, degrees): 4.3014 3.5680 6.8558 105.87 90.00 90.00
Element x y z (fractional)
Cl1 0.0000 0.5990 0.4752
Cl2 0.0000 0.9010 0.0248
Sb1 0.5000 0.7500 0.7500
Li1 0.5000 0.2500 0.2500

The space-group type is No. 10. Its formation energy from raw total energies is -683 meV per atom. Its distance to the lowest polymorph of the same formula is 394.1 meV per atom. The calculation puts the calculated density at 3.3 g cm⁻³. The energy comes out at -3.115 eV/atom.

=====

Entry 8:
The following is a GGA-PBE calculation of a relaxed RbBaTl2 crystal, from Alexandria via LeMat-Bulk.

Lattice parameters (Å, degrees): 4.3424 4.3424 9.0317 90.00 90.00 90.00
Element x y z (fractional)
Tl1 0.0000 0.0000 0.7819
Tl2 0.0000 0.0000 0.2181
Ba1 0.5000 0.5000 0.0000
Rb1 0.5000 0.5000 0.5000

The space-group type is No. 123. The formation energy is -0.184 eV per atom. Its distance to the lowest polymorph of the same formula is 0.0 meV per atom. The calculation puts the calculated density at 6.2 g cm⁻³. The energy comes out at -2.090 eV/atom.